# 1
Density functional theory data (PBE) for a relaxed structure of V4H5N.

Crystal system: monoclinic
Raw total energy, eV/cell: -65.10

Cell: 2.855 4.632 5.913 Å, 101.31 103.97 90.00°
Element x y z (fractional)
V 0.351 0.179 0.702
V 0.063 0.288 0.127
V 0.649 0.821 0.298
V 0.937 0.712 0.873
H 0.815 0.403 0.629
H 0.811 0.917 0.623
H 0.189 0.083 0.377
H 0.500 0.500 0.000
H 0.185 0.597 0.371
N 0.500 0.000 0.000



# 2
Density functional theory data (PBE) for a relaxed structure of MgZrP2Rh.

Crystal system: tetragonal
Raw total energy, eV/cell: -26.99

Cell: 4.566 5.096 4.566 Å, 90.00 90.00 90.00°
Element x y z (fractional)
P 0.000 0.000 0.500
P 0.500 0.000 0.000
Mg 0.500 0.500 0.500
Rh 0.000 0.000 0.000
Zr 0.000 0.500 0.000



# 3
Density functional theory data (PBE) for a relaxed structure of TlBiSb2.

Crystal system: trigonal
Energy relative to the lowest polymorph listed for this composition, meV per atom: 0
Uncorrected formation energy, eV/atom: 0.111

Cell: 4.478 4.478 7.806 Å, 73.33 73.33 60.00°
Element x y z (fractional)
Sb 0.249 0.249 0.252
Sb 0.751 0.751 0.748
Tl 0.500 0.500 0.500
Bi 0.000 0.000 0.000